# Hg3BiAu

A relaxed Hg3BiAu crystal (PBE, the Alexandria database).

## Properties
mass density	11.67	g/cm3
size of the total moment	0.00	Bohr magnetons per cell
calculated total energy	-1.543	eV/atom
offset from the most stable computed form	0.0176	eV per atom
ΔE_f	0.3	eV per formula unit

a = 14.6611 Å, b = 6.2194 Å, c = 6.6400 Å
α = 90.00°, β = 108.62°, γ = 90.00°
Space group C2/m (No. 12)
Symmetry-distinct sites (fractional):
1 Hg 0.0149 0.0000 0.2569 (multiplicity 4)
2 Hg 0.2080 0.2494 0.6862 (multiplicity 8)
3 Bi 0.0390 0.5000 0.2930 (multiplicity 4)
4 Au 0.1518 0.5000 0.9996 (multiplicity 4)

***

# CdGa2Pd4Pt

A relaxed CdGa2Pd4Pt crystal (PBE, the Alexandria database).

## Properties
mass density	10.16	g/cm3
size of the total moment	0.00	Bohr magnetons per cell
calculated total energy	-4.392	eV/atom
ΔE_f	-1.4	eV per formula unit

a = 3.9033 Å, b = 3.9033 Å, c = 9.3642 Å
α = 90.00°, β = 90.00°, γ = 90.00°
Space group P4/mmm (No. 123)
Symmetry-distinct sites (fractional):
1 Cd 0.0000 0.0000 0.0000 (multiplicity 1)
2 Ga 0.5000 0.5000 0.3730 (multiplicity 2)
3 Pd 0.0000 0.5000 0.2122 (multiplicity 4)
4 Pt 0.0000 0.0000 0.5000 (multiplicity 1)